Material: Tb2AlCo2
Method: DFT, meta-GGA SCAN
State: single point on PBEsol structure

Computed properties:
Energy in eV per atom: -27.47
Energy of formation from the pure elements in eV/atom: -0.298
Magnetic moment in μB per formula unit: 0.7

```
data_Tb2AlCo2
_chemical_formula_sum 'Tb4 Al2 Co4'
_cell_length_a 4.001
_cell_length_b 5.371
_cell_length_c 8.273
_cell_angle_alpha 90.00
_cell_angle_beta 90.00
_cell_angle_gamma 90.00
_symmetry_space_group_name_H-M 'I m m m'
_symmetry_Int_Tables_number 71
_symmetry_space_group_name_Hall '-I 2 2'
loop_
_atom_site_label
_atom_site_fract_x
_atom_site_fract_y
_atom_site_fract_z
Tb1 0.000 0.000 0.205
Al1 0.000 0.500 0.000
Co1 0.000 0.281 0.500
```


Material: CsRb2ReB
Method: DFT, meta-GGA SCAN
State: single point on PBEsol structure

Computed properties:
Energy in eV per atom: -30.41
Energy of formation from the pure elements in eV/atom: 1.155
Magnetic moment in μB per formula unit: 1.2

```
data_CsRb2ReB
_chemical_formula_sum 'Cs1 Rb2 Re1 B1'
_cell_length_a 6.544
_cell_length_b 6.544
_cell_length_c 4.188
_cell_angle_alpha 90.00
_cell_angle_beta 90.00
_cell_angle_gamma 90.00
_symmetry_space_group_name_H-M 'P 4/m m m'
_symmetry_Int_Tables_number 123
_symmetry_space_group_name_Hall '-P 4 2'
loop_
_atom_site_label
_atom_site_fract_x
_atom_site_fract_y
_atom_site_fract_z
Cs1 0.000 0.000 0.000
Rb1 0.000 0.500 0.500
Re1 0.500 0.500 0.500
B1 0.500 0.500 0.000
```